This record from the Alexandria database describes a geometry-optimized BiMoRhO6 structure. The functional is PBE+U.

Calculated values
Magnetization   0.000 μB per cell
Calculated volume   232.5 Å³/cell
Final energy   -6.518 eV/atom
Theoretical density   7.20 g/cm³

The structure in CIF format:
```
data_BiMoRhO6
_cell_length_a 4.8755
_cell_length_b 4.8755
_cell_length_c 9.7797
_cell_angle_alpha 90.00
_cell_angle_beta 90.00
_cell_angle_gamma 90.00
_symmetry_space_group_name_H-M 'P 42 n m'
_symmetry_Int_Tables_number 102
loop_
_symmetry_equiv_pos_as_xyz
'x,y,z'
'-y+1/2,x+1/2,z+1/2'
'-x,-y,z'
'y+1/2,-x+1/2,z+1/2'
'-x+1/2,y+1/2,z+1/2'
'y,x,z'
'x+1/2,-y+1/2,z+1/2'
'-y,-x,z'
loop_
_atom_site_label
_atom_site_type_symbol
_atom_site_fract_x
_atom_site_fract_y
_atom_site_fract_z
Bi1 Bi 0.0000 0.0000 0.0000
Mo1 Mo 0.0000 0.0000 0.6668
Rh1 Rh 0.0000 0.0000 0.3274
O1 O 0.1692 0.1692 0.5006
O2 O 0.2051 0.2051 0.8010
O3 O 0.2114 0.2114 0.1751
```